ZnCdRh2 | PBE-GGA | relaxed

Properties
Density of states at the Fermi level (states/eV/cell): 3.09

Lattice parameters (Å, degrees): 2.9807 4.4438 4.7124 90.00 90.00 90.00
Space group Pmmm (No. 47)
Symmetry-distinct sites (fractional):
Zn1 0.0000 0.0000 0.0000 [1 per cell]
Cd1 0.5000 0.0000 0.5000 [1 per cell]
Rh1 0.0000 0.5000 0.5000 [1 per cell]
Rh2 0.5000 0.5000 0.0000 [1 per cell]

=====

BeCo4Cu | PBE-GGA | relaxed

Properties
Density of states at the Fermi level (states/eV/cell): 25.55

Lattice parameters (Å, degrees): 6.5410 6.5410 6.5410 90.00 90.00 90.00
Space group F-43m (No. 216)
Symmetry-distinct sites (fractional):
Be1 0.0000 0.0000 0.0000 [4 per cell]
Co1 0.1251 0.1251 0.6251 [16 per cell]
Cu1 0.2500 0.2500 0.2500 [4 per cell]

=====

| no. | E_form (eV/atom) | spin magnetization (Bohr magnetons per cell) |
| --- | --- | --- |
| 1 | -0.03 | 0.00 |
| 2 | 0.31 | 25.96 |